Pr8Sc2Pb | GGA-PBE | optimized geometry

Unit cell a=5.0103 b=8.1246 c=9.4960 alpha=105.50 beta=105.30 gamma=90.00
With the nearest neighbours (Å) after each atom.
Element x y z (fractional)
1 Pr 0.1406 0.1883 0.2812  3 Sc 3.47-3.53, 7 Pr 3.52-3.65, 2 Pb 3.61
2 Pr 0.4045 0.5513 0.8090  3 Sc 3.49-3.50, 8 Pr 3.52-3.81, 1 Pb 3.58
3 Pr 0.9543 0.2693 0.9087  9 Pr 3.52-3.68, 2 Pb 3.57, 1 Sc 3.62
4 Pr 0.0457 0.7307 0.0913  9 Pr 3.52-3.68, 2 Pb 3.57, 1 Sc 3.62
5 Pr 0.8594 0.8117 0.7188  3 Sc 3.47-3.53, 7 Pr 3.52-3.65, 2 Pb 3.61
6 Pr 0.3208 0.0918 0.6417  8 Pr 3.52-3.62, 1 Pb 3.56, 3 Sc 3.65-3.69
7 Pr 0.5955 0.4487 0.1910  3 Sc 3.49-3.50, 8 Pr 3.52-3.81, 1 Pb 3.58
8 Pr 0.6792 0.9082 0.3583  8 Pr 3.52-3.62, 1 Pb 3.56, 3 Sc 3.65-3.69
9 Sc 0.2257 0.6271 0.4515  10 Pr 3.47-3.69, 2 Sc 3.51
10 Sc 0.7743 0.3729 0.5485  10 Pr 3.47-3.69, 2 Sc 3.51
11 Pb 0.5000 0.0000 0.0000  12 Pr 3.56-3.61


Li2VW | GGA-PBE | optimized geometry

Unit cell a=4.2238 b=4.2238 c=4.2238 alpha=60.00 beta=60.00 gamma=60.00
With the nearest neighbours (Å) after each atom.
Element x y z (fractional)
1 Li 0.2500 0.2500 0.2500  4 W 2.59, 4 V 2.59
2 Li 0.7500 0.7500 0.7500  4 V 2.59, 4 W 2.59
3 W 0.5000 0.5000 0.5000  8 Li 2.59
4 V 0.0000 0.0000 0.0000  8 Li 2.59

Summary:
distance to the lowest polymorph of the same formula	0	meV per atom


AlHg2P | GGA-PBE | optimized geometry

Unit cell a=5.6286 b=3.9432 c=3.9432 alpha=90.00 beta=90.00 gamma=90.00
With the nearest neighbours (Å) after each atom.
Element x y z (fractional)
1 Hg 0.0000 0.0000 0.0000  4 Hg 2.79
2 Hg 0.0000 0.5000 0.5000  4 Hg 2.79
3 Al 0.5000 0.0000 0.5000  4 P 2.79
4 P 0.5000 0.5000 0.0000  4 Al 2.79

Summary:
distance to the lowest polymorph of the same formula	387	meV per atom


ErCd7Hg4 | GGA-PBE | optimized geometry

Unit cell a=6.1749 b=8.8228 c=6.9077 alpha=72.73 beta=63.45 gamma=69.52
With the nearest neighbours (Å) after each atom.
Element x y z (fractional)
1 Cd 0.5000 0.0000 0.0000  2 Cd 3.03, 2 Er 3.09, 4 Hg 3.11-3.12
2 Cd 0.7430 0.0049 0.5092  5 Cd 3.03-3.20, 2 Hg 3.06-3.08, 1 Er 3.15
3 Cd 0.7448 0.3375 0.1729  5 Hg 3.02-3.22, 2 Cd 3.11-3.16, 1 Er 3.15
4 Cd 0.0035 0.6629 0.3301  4 Hg 3.03-3.09, 3 Cd 3.11-3.20, 1 Er 3.16
5 Cd 0.9965 0.3371 0.6699  4 Hg 3.03-3.09, 3 Cd 3.11-3.20, 1 Er 3.16
6 Cd 0.2552 0.6625 0.8271  5 Hg 3.02-3.22, 2 Cd 3.11-3.16, 1 Er 3.15
7 Cd 0.2570 0.9951 0.4908  5 Cd 3.03-3.20, 2 Hg 3.06-3.08, 1 Er 3.15
8 Er 0.0000 0.0000 0.0000  8 Cd 3.09-3.16
9 Hg 0.2451 0.3285 0.1813  7 Cd 3.03-3.22, 1 Hg 3.11
10 Hg 0.5053 0.6669 0.3225  6 Cd 3.02-3.12, 2 Hg 3.11-3.22
11 Hg 0.4947 0.3331 0.6775  6 Cd 3.02-3.12, 2 Hg 3.11-3.22
12 Hg 0.7549 0.6715 0.8187  7 Cd 3.03-3.22, 1 Hg 3.11


In kg/m3, the density values for the records above are, in order, 6602; 7749; 8711; 9382.
In eV per atom, the calculated formation energy values for the records above are, in order, -0.067; 0.929; 0.339; 0.030.